Record 1
Here is crystalline Cs5S2Cl2 at its relaxed geometry from Alexandria. Energies are from PBE.

```
Cs5S2Cl2
1.0
8.645 0.000 3.138
0.000 9.230 0.000
1.331 0.000 9.812
Cs S Cl
10 4 4
Direct
0.030 0.661 0.266 Cs
0.000 0.000 0.000 Cs
0.970 0.339 0.734 Cs
0.204 0.161 0.266 Cs
0.470 0.161 0.734 Cs
0.296 0.661 0.734 Cs
0.796 0.839 0.734 Cs
0.500 0.500 0.000 Cs
0.704 0.339 0.266 Cs
0.530 0.839 0.266 Cs
0.877 0.623 0.000 S
0.377 0.877 0.000 S
0.623 0.123 0.000 S
0.123 0.377 0.000 S
0.300 0.500 0.401 Cl
0.800 0.000 0.401 Cl
0.200 0.000 0.599 Cl
0.700 0.500 0.599 Cl
```

Values from the calculation:
Space group   Cmce (64)
Uncorrected formation energy   -1.34 eV per atom

---

Record 2
Here is crystalline DyEr2Ga6 at its relaxed geometry from Alexandria. Energies are from PBE.

```
DyEr2Ga6
1.0
3.786 0.000 0.000
0.000 6.458 -3.729
0.000 0.000 7.457
Ga Er Dy
6 2 1
Direct
0.500 0.334 0.000 Ga
0.500 0.334 0.334 Ga
0.500 0.000 0.666 Ga
0.500 0.000 0.334 Ga
0.500 0.666 0.666 Ga
0.500 0.666 0.000 Ga
0.000 0.667 0.333 Er
0.000 0.333 0.667 Er
0.000 0.000 0.000 Dy
```

Values from the calculation:
Fermi-level density of states   3.37 states/eV per cell
Space group   P6/mmm (191)
ΔH_f (0 K)   -0.62 eV/atom

---

Record 3
Here is crystalline Tl2TcO5 at its relaxed geometry from Alexandria. Energies are from PBE.

```
Tl2TcO5
1.0
-0.583 2.752 2.659
-6.125 -1.601 -2.505
-1.078 -7.247 7.266
Tl O Tc
4 10 2
Direct
0.859 0.719 0.091 Tl
0.141 0.281 0.591 Tl
0.859 0.719 0.409 Tl
0.141 0.281 0.909 Tl
0.054 0.108 0.382 O
0.742 0.485 0.615 O
0.258 0.515 0.115 O
0.661 0.323 0.250 O
0.339 0.677 0.750 O
0.946 0.892 0.618 O
0.946 0.892 0.882 O
0.258 0.515 0.385 O
0.054 0.108 0.118 O
0.742 0.485 0.885 O
0.852 0.703 0.750 Tc
0.148 0.297 0.250 Tc
```

Values from the calculation:
Fermi-level density of states   4.00 states/eV per cell
Space group   Cmcm (63)
Uncorrected formation energy   -0.93 eV per atom